# Ba2CoAuO4 | Alexandria | PBE with a Hubbard U | relaxed
data_Ba2CoAuO4
_symmetry_space_group_name_H-M 'P 1'
_symmetry_Int_Tables_number 1
_symmetry_space_group_name_Hall 'P 1'
_cell_length_a 6.250
_cell_length_b 6.250
_cell_length_c 6.948
_cell_angle_alpha 90.00
_cell_angle_beta 90.00
_cell_angle_gamma 90.00
loop_
_atom_site_label
_atom_site_type_symbol
_atom_site_fract_x
_atom_site_fract_y
_atom_site_fract_z
Ba1 Ba 0.000 0.000 0.000
Ba2 Ba 0.000 0.500 0.250
Ba3 Ba 0.500 0.000 0.750
Ba4 Ba 0.500 0.500 0.500
Co1 Co 0.000 0.500 0.750
Co2 Co 0.500 0.000 0.250
Au1 Au 0.000 0.000 0.500
Au2 Au 0.500 0.500 0.000
O1 O 0.179 0.280 0.666
O2 O 0.220 0.679 0.834
O3 O 0.280 0.821 0.334
O4 O 0.321 0.220 0.166
O5 O 0.679 0.780 0.166
O6 O 0.720 0.179 0.334
O7 O 0.780 0.321 0.834
O8 O 0.821 0.720 0.666
# Uncorrected energy in eV for the cell shown: -86.098
# Space-group type: No. 82